(1)
The following is a PBE calculation of PrPd3Au2 after structural relaxation, from Alexandria via LeMat-Bulk.

Properties
Space group: P6/mmm
Formation energy from the elements in eV/atom: -0.554
Electronic total energy in eV/cell: -30.2
Magnetic moment in μB/atom: 0.000
Density of states at the Fermi level in states/eV/f.u.: 2.97
E above lowest polymorph in meV/atom: 0

a = 4.5322 Å, b = 5.5015 Å, c = 5.5013 Å
α = 120.00°, β = 90.00°, γ = 90.00°
Fractional positions:
Pd 0.5000 0.5013 0.0000
Pd 0.5000 0.5013 0.5000
Pd 0.5000 0.0012 0.5000
Au 0.0000 0.3345 0.6666
Au 0.0000 0.6680 0.3334
Pr 0.0000 0.0012 0.0000

***

(2)
The following is a PBE calculation of HfNbIrCl2 after structural relaxation, from Alexandria via LeMat-Bulk.

Properties
Space group: P4/mmm
Electronic total energy in eV/cell: -27.7
Formation energy from raw total energies in meV/atom: 976
Magnetic moment in μB/atom: 0.513
Density of states at the Fermi level in states/eV/f.u.: 6.45

a = 4.7255 Å, b = 5.2004 Å, c = 4.7255 Å
α = 90.00°, β = 90.00°, γ = 90.00°
Site moments in Bohr magnetons follow the coordinates.
Fractional positions:
Ir 0.0000 0.0000 0.0000  0.04
Nb 0.5000 0.5000 0.5000  1.99
Cl 0.5000 0.0000 0.0000  0.00
Cl 0.0000 0.0000 0.5000  0.00
Hf 0.0000 0.5000 0.0000  -0.01

***

(3)
The following is a PBE calculation of HOsPdF2 after structural relaxation, from Alexandria via LeMat-Bulk.

Properties
Space group: P4/mmm
Electronic total energy in eV/cell: -22.6
Magnetic moment in μB/atom: 0.272
Density of states at the Fermi level in states/eV/f.u.: 6.35

a = 4.1929 Å, b = 3.5417 Å, c = 4.1929 Å
α = 90.00°, β = 90.00°, γ = 90.00°
Site moments in Bohr magnetons follow the coordinates.
Fractional positions:
H 0.0000 0.5000 0.0000  0.00
Os 0.0000 0.0000 0.0000  0.87
F 0.0000 0.0000 0.5000  0.03
F 0.5000 0.0000 0.0000  0.04
Pd 0.5000 0.5000 0.5000  0.39

***

(4)
The following is a PBE calculation of TbDy6Th after structural relaxation, from Alexandria via LeMat-Bulk.

Properties
Space group: P-1
Formation energy from the elements in eV/atom: 0.222
Electronic total energy in eV/cell: -37.9
Magnetic moment in μB/atom: 0.000
Density of states at the Fermi level in states/eV/f.u.: 14.85
E above lowest polymorph in meV/atom: 192

a = 6.6590 Å, b = 6.5571 Å, c = 6.7890 Å
α = 94.09°, β = 60.33°, γ = 87.98°
Fractional positions:
Dy 0.5776 0.7576 0.4905
Dy 0.5514 0.7497 0.9778
Dy 0.0907 0.7394 0.4768
Dy 0.9093 0.2606 0.5232
Dy 0.4486 0.2503 0.0222
Dy 0.4224 0.2424 0.5095
Tb 0.0000 0.5000 0.0000
Th 0.0000 0.0000 0.0000

***

(5)
The following is a PBE calculation of Na3SrS after structural relaxation, from Alexandria via LeMat-Bulk.

Properties
Space group: Pm-3m
Electronic total energy in eV/cell: -11.6
Formation energy from raw total energies in meV/atom: -361
Magnetic moment in μB/atom: 0.000
Density of states at the Fermi level in states/eV/f.u.: 3.63
E above lowest polymorph in meV/atom: 0

a = 5.6175 Å, b = 5.6175 Å, c = 5.6175 Å
α = 90.00°, β = 90.00°, γ = 90.00°
Fractional positions:
Na 0.5000 0.0000 0.0000
Na 0.0000 0.5000 0.0000
Na 0.0000 0.0000 0.5000
Sr 0.5000 0.5000 0.5000
S 0.0000 0.0000 0.0000

***

(6)
The following is a PBE calculation of CdReP2S after structural relaxation, from Alexandria via LeMat-Bulk.

Properties
Space group: P4/mmm
Electronic total energy in eV/cell: -17.7
Formation energy from raw total energies in meV/atom: 2126
Magnetic moment in μB/atom: 0.000
Density of states at the Fermi level in states/eV/f.u.: 8.42
E above lowest polymorph in meV/atom: 1662

a = 4.7552 Å, b = 4.7552 Å, c = 4.7433 Å
α = 90.00°, β = 90.00°, γ = 90.00°
Fractional positions:
P 0.5000 0.0000 0.0000
P 0.0000 0.5000 0.0000
S 0.0000 0.0000 0.5000
Cd 0.0000 0.0000 0.0000
Re 0.5000 0.5000 0.5000

***

(7)
The following is a PBE calculation of Tb8Si3HgTe4 after structural relaxation, from Alexandria via LeMat-Bulk.

Properties
Space group: R-3m
Electronic total energy in eV/cell: -82.7
Formation energy from raw total energies in meV/atom: -1030
Magnetic moment in μB/atom: 0.000
Density of states at the Fermi level in states/eV/f.u.: 7.47

a = 8.5107 Å, b = 8.6717 Å, c = 8.5100 Å
α = 119.39°, β = 120.00°, γ = 90.00°
Fractional positions:
Tb 0.2499 0.7287 0.4998
Tb 0.2499 0.7287 0.9788
Tb 0.2610 0.2830 0.5220
Tb 0.7501 0.2713 0.5002
Tb 0.7390 0.7170 0.4780
Tb 0.7501 0.2713 0.0212
Tb 0.2711 0.2713 0.0212
Tb 0.7289 0.7287 0.9788
Si 0.5000 0.5000 0.0000
Si 0.5000 0.5000 0.5000
Si 0.0000 0.5000 0.5000
Hg 0.0000 0.5000 0.0000
Te 0.5000 0.0000 0.0000
Te 0.0000 0.0000 0.0000
Te 0.0000 0.0000 0.5000
Te 0.5000 0.0000 0.5000

***

(8)
The following is a PBE calculation of Ba6Ge2TeI3 after structural relaxation, from Alexandria via LeMat-Bulk.

Properties
Space group: C2/m
Electronic total energy in eV/cell: -43.1
Formation energy from raw total energies in meV/atom: -1213
Magnetic moment in μB/atom: 0.074
Density of states at the Fermi level in states/eV/f.u.: 11.33

a = 4.8609 Å, b = 10.3641 Å, c = 11.3778 Å
α = 104.67°, β = 102.33°, γ = 90.00°
Site moments in Bohr magnetons follow the coordinates.
Fractional positions:
Ba 0.9851 0.7553 0.9703  0.01
Ba 0.0149 0.2447 0.0297  0.01
Ba 0.6771 0.5611 0.3543  0.03
Ba 0.3229 0.4389 0.6457  0.03
Ba 0.6657 0.1141 0.3315  0.03
Ba 0.3343 0.8859 0.6685  0.03
I 0.1620 0.8336 0.3239  0.00
I 0.5000 0.5000 0.0000  0.00
I 0.8380 0.1664 0.6761  0.00
Te 0.5000 0.0000 0.0000  0.00
Ge 0.1652 0.3313 0.3303  0.13
Ge 0.8348 0.6687 0.6697  0.13

***

(9)
The following is a PBE calculation of ScIrSeN2 after structural relaxation, from Alexandria via LeMat-Bulk.

Properties
Space group: P4/mmm
Electronic total energy in eV/cell: -34.1
Formation energy from raw total energies in meV/atom: 255
Magnetic moment in μB/atom: 0.000
Density of states at the Fermi level in states/eV/f.u.: 2.89
E above lowest polymorph in meV/atom: 0

a = 3.8221 Å, b = 3.8221 Å, c = 5.5048 Å
α = 90.00°, β = 90.00°, γ = 90.00°
Fractional positions:
Sc 0.5000 0.5000 0.5000
N 0.0000 0.5000 0.0000
N 0.5000 0.0000 0.0000
Ir 0.0000 0.0000 0.0000
Se 0.0000 0.0000 0.5000

***

(10)
The following is a PBE calculation of NdTmO3 after structural relaxation, from Alexandria via LeMat-Bulk.

Properties
Space group: P2_1/m
Electronic total energy in eV/cell: -82.5
Formation energy from raw total energies in meV/atom: -3426
Magnetic moment in μB/atom: 0.000
Density of states at the Fermi level in states/eV/f.u.: 0.00

a = 3.8988 Å, b = 5.7444 Å, c = 9.0368 Å
α = 117.12°, β = 90.00°, γ = 90.00°
Fractional positions:
Tm 0.2500 0.6998 0.8329
Tm 0.7500 0.8363 0.1671
O 0.2500 0.8560 0.6575
O 0.2500 0.9528 0.1131
O 0.7500 0.5832 0.8869
O 0.2500 0.3300 0.6191
O 0.7500 0.6800 0.3425
O 0.7500 0.2061 0.3809
Nd 0.7500 0.0937 0.6015
Nd 0.2500 0.4424 0.3985

***

(11)
The following is a PBE calculation of Er8Ge3Se4S after structural relaxation, from Alexandria via LeMat-Bulk.

Properties
Space group: R-3m
Electronic total energy in eV/cell: -92.7
Formation energy from raw total energies in meV/atom: -1518
Magnetic moment in μB/atom: 0.000
Density of states at the Fermi level in states/eV/f.u.: 2.53

a = 8.1165 Å, b = 8.1435 Å, c = 8.1162 Å
α = 119.89°, β = 120.00°, γ = 90.00°
Fractional positions:
Ge 0.5000 0.5000 0.5000
Ge 0.5000 0.5000 0.0000
Ge 0.0000 0.5000 0.5000
Se 0.5000 0.0000 0.0000
Se 0.0000 0.0000 0.5000
Se 0.0000 0.0000 0.0000
Se 0.5000 0.0000 0.5000
S 0.0000 0.5000 0.0000
Er 0.2464 0.7348 0.9885
Er 0.2580 0.2652 0.0115
Er 0.7536 0.2652 0.0115
Er 0.2542 0.2625 0.5083
Er 0.2463 0.7348 0.4926
Er 0.7458 0.7375 0.4917
Er 0.7420 0.7348 0.9885
Er 0.7537 0.2652 0.5074

***

(12)
The following is a PBE calculation of Li2YCd10 after structural relaxation, from Alexandria via LeMat-Bulk.

Properties
Space group: Fmmm
Formation energy from the elements in eV/atom: -0.166
Electronic total energy in eV/cell: -21.6
Magnetic moment in μB/atom: 0.000
Density of states at the Fermi level in states/eV/f.u.: 6.25

a = 5.7529 Å, b = 7.6083 Å, c = 7.4769 Å
α = 81.64°, β = 67.37°, γ = 67.79°
Fractional positions:
Cd 0.4911 0.2244 0.7935
Cd 0.0000 0.0000 0.5000
Cd 0.0114 0.6439 0.3333
Cd 0.5089 0.7756 0.2065
Cd 0.3447 0.6439 0.6667
Cd 0.6553 0.3561 0.3333
Cd 0.5000 0.0000 0.5000
Cd 0.9886 0.3561 0.6667
Cd 0.7155 0.7756 0.7935
Cd 0.2845 0.2244 0.2065
Li 0.5000 0.5000 0.0000
Li 0.0000 0.5000 0.0000
Y 0.0000 0.0000 0.0000